# 1
# Tl2Br

A relaxed Tl2Br crystal (PBE-GGA, Alexandria via LeMat-Bulk).

The structure in POSCAR format:
```
Tl2Br
1.0
4.7699 0.0000 0.0000
0.0000 4.7699 0.0000
0.0000 0.0000 4.9740
Tl Br
2 1
Direct
0.0000 0.5000 0.5000
0.5000 0.0000 0.5000
0.0000 0.0000 0.0000
```

Output
The density comes out at 7.2 g/cm3. The energy above the most stable polymorph in this dataset is 0.043 eV per atom. The uncorrected formation energy is -1.210 eV per formula unit. As for the symmetry: P4/mmm. For the total energy, the calculation gives -7.62 eV for the cell shown.



# 2
# Tl4Br

A relaxed Tl4Br crystal (PBE-GGA, Alexandria via LeMat-Bulk).

The structure in POSCAR format:
```
Tl4Br
1.0
1.5020 -4.0165 4.6894
-4.5285 3.9865 1.9948
-2.1265 -3.2875 -5.0049
Tl Br
4 1
Direct
0.5000 0.0000 0.0000
0.0000 0.5000 0.0000
0.0000 0.0000 0.5000
0.5000 0.5000 0.5000
0.0000 0.0000 0.0000
```

Output
The density comes out at 7.5 g/cm3. The energy above the most stable polymorph in this dataset is 0.000 eV per atom. The uncorrected formation energy is -0.319 eV per formula unit. As for the symmetry: Im-3m. For the total energy, the calculation gives -11.46 eV for the cell shown.



# 3
# TlBr3

A relaxed TlBr3 crystal (PBE-GGA, Alexandria via LeMat-Bulk).

The structure in POSCAR format:
```
TlBr3
1.0
-2.9443 0.8850 2.9101
-5.1284 -11.8987 -1.5701
8.1657 -4.8024 9.7222
Tl Br
4 12
Direct
0.9943 0.2500 0.6900
0.0057 0.7500 0.3100
0.4943 0.7500 0.8100
0.5057 0.2500 0.1900
0.5058 0.7500 0.1771
0.0058 0.2500 0.3229
0.4939 0.5752 0.8925
0.9939 0.0752 0.6075
0.0061 0.9248 0.3925
0.9939 0.4248 0.6075
0.5061 0.4248 0.1075
0.4939 0.9248 0.8925
0.0061 0.5752 0.3925
0.9942 0.7500 0.6771
0.4942 0.2500 0.8229
0.5061 0.0752 0.1075
```

Output
The density comes out at 3.9 g/cm3. The uncorrected formation energy is -1.730 eV per formula unit. As for the symmetry: Pnma. For the total energy, the calculation gives -36.46 eV for the cell shown.



# 4
# Tl4Br

A relaxed Tl4Br crystal (PBE-GGA, Alexandria via LeMat-Bulk).

The structure in POSCAR format:
```
Tl4Br
1.0
-5.8102 1.0090 -1.4994
0.5614 -3.7908 -4.7264
-1.7179 -4.6515 3.5267
Tl Br
4 1
Direct
0.0000 0.5000 0.5000
0.5000 0.5000 0.0000
0.5000 0.0000 0.5000
0.0000 0.0000 0.0000
0.5000 0.5000 0.5000
```

Output
The density comes out at 6.6 g/cm3. The energy above the most stable polymorph in this dataset is 0.137 eV per atom. The uncorrected formation energy is 0.363 eV per formula unit. As for the symmetry: Pm-3m. For the total energy, the calculation gives -10.77 eV for the cell shown.



# 5
# TlBr3

A relaxed TlBr3 crystal (PBE-GGA, Alexandria via LeMat-Bulk).

The structure in POSCAR format:
```
TlBr3
1.0
5.5464 -0.0338 0.0000
0.0122 5.5477 0.0000
0.0000 0.0000 4.0299
Tl Br
1 3
Direct
0.0000 0.0000 0.0000
0.5000 0.5000 0.0000
0.0000 0.5000 0.5000
0.5000 0.0000 0.5000
```

Output
The density comes out at 5.9 g/cm3. The uncorrected formation energy is -0.319 eV per formula unit. As for the symmetry: Cmmm. For the total energy, the calculation gives -7.70 eV for the cell shown.



# 6
# Tl2Br

A relaxed Tl2Br crystal (PBE-GGA, Alexandria via LeMat-Bulk).

The structure in POSCAR format:
```
Tl2Br
1.0
-0.5789 1.2568 3.6602
-2.9367 -1.6534 -1.9885
2.0065 -6.7211 2.6252
Tl Br
2 1
Direct
0.6667 0.3333 0.6896
0.3333 0.6667 0.3104
0.0000 0.0000 0.0000
```

Output
The density comes out at 8.2 g/cm3. The energy above the most stable polymorph in this dataset is 0.070 eV per atom. The uncorrected formation energy is -1.129 eV per formula unit. As for the symmetry: P-3m1. For the total energy, the calculation gives -7.53 eV for the cell shown.



# 7
# Tl2Br

A relaxed Tl2Br crystal (PBE-GGA, Alexandria via LeMat-Bulk).

The structure in POSCAR format:
```
Tl2Br
1.0
-6.4675 0.8402 -6.7921
3.7350 -4.6598 7.2803
-2.7706 2.3564 2.9297
Br Tl
2 4
Direct
0.9021 0.0979 0.7500
0.0979 0.9021 0.2500
0.7534 0.2466 0.2500
0.4213 0.5787 0.2500
0.5787 0.4213 0.7500
0.2466 0.7534 0.7500
```

Output
The density comes out at 8.1 g/cm3. The energy above the most stable polymorph in this dataset is 0.000 eV per atom. The uncorrected formation energy is -1.340 eV per formula unit. As for the symmetry: Cmcm. For the total energy, the calculation gives -15.49 eV for the cell shown.



# 8
# TlBr3

A relaxed TlBr3 crystal (PBE-GGA, Alexandria via LeMat-Bulk).

The structure in POSCAR format:
```
TlBr3
1.0
6.1391 0.0000 0.0000
0.0000 6.1391 0.0000
0.0000 0.0000 6.1391
Tl Br
2 6
Direct
0.5000 0.5000 0.5000
0.0000 0.0000 0.0000
0.5000 0.0000 0.2500
0.0000 0.2500 0.5000
0.7500 0.5000 0.0000
0.2500 0.5000 0.0000
0.0000 0.7500 0.5000
0.5000 0.0000 0.7500
```

Output
The density comes out at 6.4 g/cm3. The uncorrected formation energy is -0.877 eV per formula unit. As for the symmetry: Pm-3n. For the total energy, the calculation gives -16.52 eV for the cell shown.



# 9
# Tl3Br2

A relaxed Tl3Br2 crystal (PBE-GGA, Alexandria via LeMat-Bulk).

The structure in POSCAR format:
```
Tl3Br2
1.0
2.8527 -4.9410 0.0000
2.8527 4.9410 0.0000
0.0000 0.0000 6.7686
Br Tl
2 3
Direct
0.3333 0.6667 0.8159
0.6667 0.3333 0.1841
0.0000 0.0000 0.0000
0.3333 0.6667 0.3106
0.6667 0.3333 0.6894
```

Output
The density comes out at 6.7 g/cm3. The uncorrected formation energy is -2.455 eV per formula unit. As for the symmetry: P-3m1. For the total energy, the calculation gives -12.90 eV for the cell shown.



# 10
# Tl2Br

A relaxed Tl2Br crystal (PBE-GGA, Alexandria via LeMat-Bulk).

The structure in POSCAR format:
```
Tl2Br
1.0
2.4262 6.0577 -0.0645
-2.4262 6.0577 -0.0645
0.0000 2.0256 6.7592
Tl Br
4 2
Direct
0.6389 0.6389 0.2221
0.9536 0.9536 0.5426
0.6389 0.6389 0.7221
0.3242 0.3242 0.9019
0.0042 0.0042 0.0255
0.2735 0.2735 0.4191
```

Output
The density comes out at 8.1 g/cm3. The energy above the most stable polymorph in this dataset is 0.013 eV per atom. The uncorrected formation energy is -1.302 eV per formula unit. As for the symmetry: C2/m. For the total energy, the calculation gives -15.41 eV for the cell shown.



# 11
# TlBr

A relaxed TlBr crystal (PBE-GGA, Alexandria via LeMat-Bulk).

The structure in POSCAR format:
```
TlBr
1.0
5.6715 0.0000 0.0000
2.8358 4.9117 0.0000
2.8358 1.6372 4.6308
Tl Br
2 2
Direct
0.5000 0.5000 0.5000
0.7500 0.7500 0.7500
0.2500 0.2500 0.2500
0.0000 0.0000 0.0000
```

Output
The density comes out at 7.3 g/cm3. The energy above the most stable polymorph in this dataset is 0.331 eV per atom. The uncorrected formation energy is -1.064 eV per formula unit. As for the symmetry: Fd-3m. For the total energy, the calculation gives -10.21 eV for the cell shown.



# 12
# TlBr3

A relaxed TlBr3 crystal (PBE-GGA, Alexandria via LeMat-Bulk).

The structure in POSCAR format:
```
TlBr3
1.0
-3.7310 -2.3485 3.4465
-1.9051 2.8503 4.4228
-5.2838 1.8412 0.0776
Br Tl
3 1
Direct
0.7500 0.7500 0.7500
0.0000 0.0000 0.0000
0.2500 0.2500 0.2500
0.5000 0.5000 0.5000
```

Output
The density comes out at 6.0 g/cm3. The uncorrected formation energy is -0.253 eV per formula unit. As for the symmetry: Fm-3m. For the total energy, the calculation gives -7.64 eV for the cell shown.



# 13
# Tl2Br

A relaxed Tl2Br crystal (PBE-GGA, Alexandria via LeMat-Bulk).

The structure in POSCAR format:
```
Tl2Br
1.0
-4.8829 -3.9667 0.8803
-3.1270 -4.8548 -2.6468
3.5243 -7.0776 3.5364
Tl Br
4 2
Direct
0.3493 0.3493 0.0295
0.9343 0.9343 0.3284
0.0657 0.0657 0.6716
0.6507 0.6507 0.9705
0.6570 0.6570 0.3513
0.3430 0.3430 0.6487
```

Output
The density comes out at 8.0 g/cm3. The energy above the most stable polymorph in this dataset is 0.024 eV per atom. The uncorrected formation energy is -1.269 eV per formula unit. As for the symmetry: C2/m. For the total energy, the calculation gives -15.35 eV for the cell shown.